(1)
HfSeI2N: optimized geometry, PBE.

The structure in CIF format:
```
data_HfSeI2N
_cell_length_a 5.988
_cell_length_b 5.988
_cell_length_c 3.646
_cell_angle_alpha 90.00
_cell_angle_beta 90.00
_cell_angle_gamma 90.00
_space_group_name_H-M_alt 'P 4/m m m'
_space_group_IT_number 123
_space_group_name_Hall '-P 4 2'
loop_
_atom_site_label
_atom_site_fract_x
_atom_site_fract_y
_atom_site_fract_z
_atom_site_occupancy
Hf1 0.000 0.000 0.000 1
Se1 0.500 0.500 0.500 1
I1 0.000 0.500 0.500 1
N1 0.500 0.500 0.000 1
```

Computed properties:
ΔE_f (raw): 5.25 eV per formula unit
volume: 26.1 Å³ per atom
density: 6.7 Mg/m³
final energy: -3.9234 eV per atom

(2)
HfSeI2N: optimized geometry, PBE.

The structure in CIF format:
```
data_HfSeI2N
_cell_length_a 5.863
_cell_length_b 5.863
_cell_length_c 3.965
_cell_angle_alpha 90.00
_cell_angle_beta 90.00
_cell_angle_gamma 90.00
_space_group_name_H-M_alt 'P 4/m m m'
_space_group_IT_number 123
_space_group_name_Hall '-P 4 2'
loop_
_atom_site_label
_atom_site_fract_x
_atom_site_fract_y
_atom_site_fract_z
_atom_site_occupancy
Hf1 0.000 0.000 0.000 1
Se1 0.500 0.500 0.500 1
I1 0.000 0.500 0.000 1
N1 0.000 0.000 0.500 1
```

Computed properties:
ΔE_f (raw): 0.69 eV per formula unit
volume: 27.3 Å³ per atom
density: 6.4 Mg/m³
final energy: -4.8338 eV per atom

(3)
HfSnI2N: optimized geometry, PBE.

The structure in CIF format:
```
data_HfSnI2N
_cell_length_a 6.123
_cell_length_b 6.123
_cell_length_c 3.825
_cell_angle_alpha 90.00
_cell_angle_beta 90.00
_cell_angle_gamma 90.00
_space_group_name_H-M_alt 'P 4/m m m'
_space_group_IT_number 123
_space_group_name_Hall '-P 4 2'
loop_
_atom_site_label
_atom_site_fract_x
_atom_site_fract_y
_atom_site_fract_z
_atom_site_occupancy
Hf1 0.000 0.000 0.000 1
Sn1 0.500 0.500 0.500 1
I1 0.000 0.500 0.500 1
N1 0.500 0.500 0.000 1
```

Computed properties:
ΔE_f (raw): 4.71 eV per formula unit
volume: 28.7 Å³ per atom
density: 6.5 Mg/m³
final energy: -4.1344 eV per atom

(4)
HfSnI2N: optimized geometry, PBE.

The structure in CIF format:
```
data_HfSnI2N
_cell_length_a 5.970
_cell_length_b 5.970
_cell_length_c 3.998
_cell_angle_alpha 90.00
_cell_angle_beta 90.00
_cell_angle_gamma 90.00
_space_group_name_H-M_alt 'P 4/m m m'
_space_group_IT_number 123
_space_group_name_Hall '-P 4 2'
loop_
_atom_site_label
_atom_site_fract_x
_atom_site_fract_y
_atom_site_fract_z
_atom_site_occupancy
Hf1 0.000 0.000 0.000 1
Sn1 0.500 0.500 0.500 1
I1 0.000 0.500 0.000 1
N1 0.000 0.000 0.500 1
```

Computed properties:
ΔE_f (raw): -0.49 eV per formula unit
volume: 28.5 Å³ per atom
density: 6.6 Mg/m³
final energy: -5.1753 eV per atom

Copy entry 3 word for word.
HfSnI2N: optimized geometry, PBE.

The structure in CIF format:
```
data_HfSnI2N
_cell_length_a 6.123
_cell_length_b 6.123
_cell_length_c 3.825
_cell_angle_alpha 90.00
_cell_angle_beta 90.00
_cell_angle_gamma 90.00
_space_group_name_H-M_alt 'P 4/m m m'
_space_group_IT_number 123
_space_group_name_Hall '-P 4 2'
loop_
_atom_site_label
_atom_site_fract_x
_atom_site_fract_y
_atom_site_fract_z
_atom_site_occupancy
Hf1 0.000 0.000 0.000 1
Sn1 0.500 0.500 0.500 1
I1 0.000 0.500 0.500 1
N1 0.500 0.500 0.000 1
```

Computed properties:
ΔE_f (raw): 4.71 eV per formula unit
volume: 28.7 Å³ per atom
density: 6.5 Mg/m³
final energy: -4.1344 eV per atom

Repeat the fourth record exactly.
HfSnI2N: optimized geometry, PBE.

The structure in CIF format:
```
data_HfSnI2N
_cell_length_a 5.970
_cell_length_b 5.970
_cell_length_c 3.998
_cell_angle_alpha 90.00
_cell_angle_beta 90.00
_cell_angle_gamma 90.00
_space_group_name_H-M_alt 'P 4/m m m'
_space_group_IT_number 123
_space_group_name_Hall '-P 4 2'
loop_
_atom_site_label
_atom_site_fract_x
_atom_site_fract_y
_atom_site_fract_z
_atom_site_occupancy
Hf1 0.000 0.000 0.000 1
Sn1 0.500 0.500 0.500 1
I1 0.000 0.500 0.000 1
N1 0.000 0.000 0.500 1
```

Computed properties:
ΔE_f (raw): -0.49 eV per formula unit
volume: 28.5 Å³ per atom
density: 6.6 Mg/m³
final energy: -5.1753 eV per atom

Question: Among the records above, which one has the lowest volume?
Answer: number 1

Question: Number 1 is which compound?
Answer: HfSeI2N